Record 1
# PuHfBr5 (GGA-PBE, optimized geometry)
data_PuHfBr5
_chemical_formula_sum 'Pu2 Hf2 Br10'
_cell_length_a 8.656
_cell_length_b 3.639
_cell_length_c 14.446
_cell_angle_alpha 90.00
_cell_angle_beta 91.58
_cell_angle_gamma 90.00
_space_group_name_H-M_alt 'P 1 21/m 1'
_space_group_IT_number 11
loop_
_space_group_symop_operation_xyz
'x,y,z'
'-x,-y,-z'
'-x,y+1/2,-z'
'x,-y+1/2,z'
loop_
_atom_site_label
_atom_site_type_symbol
_atom_site_fract_x
_atom_site_fract_y
_atom_site_fract_z
_atom_site_occupancy
Pu1 Pu 0.077 0.250 0.365 1
Hf1 Hf 0.330 0.750 0.184 1
Br1 Br 0.021 0.750 0.206 1
Br2 Br 0.168 0.250 0.569 1
Br3 Br 0.260 0.250 0.049 1
Br4 Br 0.346 0.750 0.370 1
Br5 Br 0.437 0.750 0.797 1
# Calculated volume = 32.491 Å³/atom
# DFT total energy = -6.00 eV/atom

=====

Record 2
# Pr5Sc (GGA-PBE, optimized geometry)
data_Pr5Sc
_chemical_formula_sum 'Pr10 Sc2'
_cell_length_a 5.143
_cell_length_b 15.517
_cell_length_c 5.131
_cell_angle_alpha 90.00
_cell_angle_beta 90.00
_cell_angle_gamma 90.00
_space_group_name_H-M_alt 'C m m m'
_space_group_IT_number 65
_space_group_name_Hall '-C 2 2'
loop_
_atom_site_label
_atom_site_type_symbol
_atom_site_fract_x
_atom_site_fract_y
_atom_site_fract_z
_atom_site_occupancy
Pr1 Pr 0.000 0.000 0.000 1
Pr2 Pr 0.000 0.163 0.500 1
Pr3 Pr 0.000 0.336 0.000 1
Sc1 Sc 0.000 0.500 0.500 1
# Calculated volume = 34.123 Å³/atom
# Calculated formation energy = 0.04 eV/atom

=====

Record 3
# Ac3Er5Se12 (GGA-PBE, optimized geometry)
data_Ac3Er5Se12
_chemical_formula_sum 'Ac24 Er40 Se96'
_cell_length_a 17.243
_cell_length_b 17.243
_cell_length_c 17.243
_cell_angle_alpha 90.00
_cell_angle_beta 90.00
_cell_angle_gamma 90.00
_space_group_name_H-M_alt 'I a -3 d'
_space_group_IT_number 230
_space_group_name_Hall '-I 4bd 2c 3'
loop_
_atom_site_label
_atom_site_type_symbol
_atom_site_fract_x
_atom_site_fract_y
_atom_site_fract_z
_atom_site_occupancy
Ac1 Ac 0.000 0.250 0.125 1
Er1 Er 0.000 0.000 0.000 1
Er2 Er 0.000 0.250 0.375 1
Se1 Se 0.025 0.064 0.651 1
# Calculated volume = 32.044 Å³/atom
# DFT total energy = -5.68 eV/atom